1.
A geometry-optimized Si3Au structure, computed with GGA-PBE. Values from VASP.

Structure (Quantum ESPRESSO input):
```
&SYSTEM
  ibrav = 0, nat = 8, ntyp = 2
/
ATOMIC_SPECIES
Si 28.09 Si.upf
Au 196.97 Au.upf
CELL_PARAMETERS angstrom
7.5674 0.0000 0.0000
-3.7837 6.5536 0.0000
0.0000 0.0000 2.8233
ATOMIC_POSITIONS crystal
Si 0.1601 0.3202 0.2500
Si 0.1601 0.8399 0.2500
Si 0.3202 0.1601 0.7500
Si 0.6798 0.8399 0.2500
Si 0.8399 0.1601 0.7500
Si 0.8399 0.6798 0.7500
Au 0.3333 0.6667 0.7500
Au 0.6667 0.3333 0.2500
```

Output
As for the volume: 140 Å³/cell. The calculation puts the relative energy among the computed polymorphs at 24 meV/atom. For the energy, the calculation gives -4.604 eV per atom. Its formation energy from raw total energies is 0.283 eV/atom.


2.
A geometry-optimized SiAu3 structure, computed with GGA-PBE. Values from VASP.

Structure (Quantum ESPRESSO input):
```
&SYSTEM
  ibrav = 0, nat = 8, ntyp = 2
/
ATOMIC_SPECIES
Si 28.09 Si.upf
Au 196.97 Au.upf
CELL_PARAMETERS angstrom
3.0012 0.0000 0.0000
0.0000 4.3216 0.0000
0.0000 0.0000 11.1497
ATOMIC_POSITIONS crystal
Si 0.0000 0.0000 0.0000
Si 0.5000 0.5000 0.5000
Au 0.0000 0.0000 0.5000
Au 0.0000 0.5000 0.3065
Au 0.0000 0.5000 0.6935
Au 0.5000 0.0000 0.1935
Au 0.5000 0.0000 0.8065
Au 0.5000 0.5000 0.0000
```

Output
As for the volume: 145 Å³/cell. For the energy, the calculation gives -3.731 eV per atom. Its formation energy from raw total energies is 0.083 eV/atom.


3.
A geometry-optimized SiAu3 structure, computed with GGA-PBE. Values from VASP.

Structure (Quantum ESPRESSO input):
```
&SYSTEM
  ibrav = 0, nat = 16, ntyp = 2
/
ATOMIC_SPECIES
Si 28.09 Si.upf
Au 196.97 Au.upf
CELL_PARAMETERS angstrom
6.0742 0.0000 0.0000
0.0000 7.1977 0.0000
0.0000 0.0000 6.5952
ATOMIC_POSITIONS crystal
Si 0.1636 0.2500 0.0869
Si 0.3364 0.7500 0.5869
Si 0.6636 0.2500 0.4131
Si 0.8364 0.7500 0.9131
Au 0.0044 0.7500 0.3469
Au 0.1958 0.5518 0.8815
Au 0.1958 0.9482 0.8815
Au 0.3042 0.0518 0.3815
Au 0.3042 0.4482 0.3815
Au 0.4956 0.2500 0.8469
Au 0.5044 0.7500 0.1531
Au 0.6958 0.5518 0.6185
Au 0.6958 0.9482 0.6185
Au 0.8042 0.0518 0.1185
Au 0.8042 0.4482 0.1185
Au 0.9956 0.2500 0.6531
```

Output
As for the volume: 288 Å³/cell. For the energy, the calculation gives -3.809 eV per atom. Its formation energy from raw total energies is 0.005 eV/atom.